Record 1
# GGA-PBE VCuSnRu, relaxed
# **Calculated formation energy**: -0.022 eV/atom
# **Total moment**: 0.00 μB per cell
# **Calculated volume**: 15.07 Å³/atom
# **DFT total energy**: -6.65 eV/atom
data_VCuSnRu
_symmetry_space_group_name_H-M 'F -4 3 m'
_symmetry_Int_Tables_number 216
_symmetry_space_group_name_Hall 'F -4 2 3'
_cell_length_a 6.224
_cell_length_b 6.224
_cell_length_c 6.224
_cell_angle_alpha 90.00
_cell_angle_beta 90.00
_cell_angle_gamma 90.00
loop_
_atom_site_label
_atom_site_type_symbol
_atom_site_fract_x
_atom_site_fract_y
_atom_site_fract_z
V1 V 0.000 0.000 0.000
Cu1 Cu 0.250 0.250 0.250
Sn1 Sn 0.000 0.000 0.500
Ru1 Ru 0.250 0.250 0.750

Record 2
# GGA-PBE CePmBr6, relaxed
# **Offset from the most stable computed form**: 0.0100 eV/atom
# **Total moment**: 3.00 μB per cell
# **E_form (uncorrected)**: -1.801 eV per atom
# **Calculated volume**: 38.06 Å³/atom
# **DFT total energy**: -4.39 eV/atom
data_CePmBr6
_symmetry_space_group_name_H-M 'R -3'
_symmetry_Int_Tables_number 148
_symmetry_space_group_name_Hall '-R 3'
_cell_length_a 7.2617
_cell_length_b 7.2617
_cell_length_c 20.0010
_cell_angle_alpha 90.00
_cell_angle_beta 90.00
_cell_angle_gamma 120.00
loop_
_atom_site_label
_atom_site_type_symbol
_atom_site_fract_x
_atom_site_fract_y
_atom_site_fract_z
Ce1 Ce 0.0000 0.0000 0.0000
Pm1 Pm 0.0000 0.0000 0.5000
Br1 Br 0.0031 0.6589 0.2495

Record 3
# GGA-PBE Li2ZrTaO6, relaxed
# **Total moment**: 3.22 μB per cell
# **E_form (uncorrected)**: -2.541 eV per atom
# **Calculated volume**: 11.53 Å³/atom
# **DFT total energy**: -7.94 eV/atom
data_Li2ZrTaO6
_symmetry_space_group_name_H-M 'R 3'
_symmetry_Int_Tables_number 146
_symmetry_space_group_name_Hall 'R 3'
_cell_length_a 5.2755
_cell_length_b 5.2755
_cell_length_c 14.3541
_cell_angle_alpha 90.00
_cell_angle_beta 90.00
_cell_angle_gamma 120.00
loop_
_atom_site_label
_atom_site_type_symbol
_atom_site_fract_x
_atom_site_fract_y
_atom_site_fract_z
Li1 Li 0.0000 0.0000 0.0000
Li2 Li 0.0000 0.0000 0.4974
Zr1 Zr 0.0000 0.0000 0.2132
Ta1 Ta 0.0000 0.0000 0.7152
O1 O 0.0364 0.3350 0.7834
O2 O 0.0499 0.6922 0.2883

Record 4
# GGA-PBE BaIn2TeIr, relaxed
# **Total moment**: 0.00 μB per cell
# **E_form (uncorrected)**: -0.490 eV per atom
# **Calculated volume**: 32.92 Å³/atom
# **DFT total energy**: -4.37 eV/atom
data_BaIn2TeIr
_symmetry_space_group_name_H-M 'P 4/m m m'
_symmetry_Int_Tables_number 123
_symmetry_space_group_name_Hall '-P 4 2'
_cell_length_a 5.182
_cell_length_b 5.182
_cell_length_c 6.131
_cell_angle_alpha 90.00
_cell_angle_beta 90.00
_cell_angle_gamma 90.00
loop_
_atom_site_label
_atom_site_type_symbol
_atom_site_fract_x
_atom_site_fract_y
_atom_site_fract_z
Ba1 Ba 0.000 0.000 0.000
In1 In 0.000 0.500 0.500
Te1 Te 0.500 0.500 0.000
Ir1 Ir 0.000 0.000 0.500